Record 1
# Cs4KReO6 | the Open Quantum Materials Database | PBE | relaxed
# Total moment   0.000 μB per atom
# Space-group type   C2/m (12)
# Final energy   -65.37 eV/cell
data_Cs4KReO6
_space_group_name_H-M_alt 'P 1'
_space_group_IT_number 1
_space_group_name_Hall 'P 1'
_cell_length_a 6.9417
_cell_length_b 6.9417
_cell_length_c 6.5937
_cell_angle_alpha 100.77
_cell_angle_beta 100.77
_cell_angle_gamma 121.33
loop_
_atom_site_label
_atom_site_fract_x
_atom_site_fract_y
_atom_site_fract_z
_atom_site_occupancy
O1 0.2946 0.0720 0.1868 1
O2 0.8326 0.8326 0.1793 1
O3 0.9280 0.7054 0.8132 1
O4 0.0720 0.2946 0.1868 1
O5 0.1674 0.1674 0.8207 1
O6 0.7054 0.9280 0.8132 1
Cs1 0.3331 0.6669 0.0000 1
Cs2 0.6669 0.3331 0.0000 1
Cs3 0.8338 0.1662 0.5000 1
Cs4 0.1662 0.8338 0.5000 1
Re1 0.0000 0.0000 0.0000 1
K1 0.5000 0.5000 0.5000 1

***

Record 2
# NbPIrO | the Open Quantum Materials Database | PBE | relaxed
# Total moment   0.001 μB per atom
# Space-group type   Pmc2_1 (26)
# Final energy   -63.47 eV/cell
# Relative energy among the computed polymorphs   0.344 eV per atom
data_NbPIrO
_space_group_name_H-M_alt 'P 1'
_space_group_IT_number 1
_space_group_name_Hall 'P 1'
_cell_length_a 3.9763
_cell_length_b 5.4088
_cell_length_c 5.5034
_cell_angle_alpha 90.00
_cell_angle_beta 90.00
_cell_angle_gamma 90.00
loop_
_atom_site_label
_atom_site_fract_x
_atom_site_fract_y
_atom_site_fract_z
_atom_site_occupancy
P1 0.0000 0.2416 0.8446 1
P2 0.0000 0.7584 0.3446 1
Ir1 0.0000 0.8049 0.9020 1
Ir2 0.0000 0.1951 0.4020 1
Nb1 0.5000 0.4067 0.0802 1
Nb2 0.5000 0.5933 0.5802 1
O1 0.5000 0.2448 0.4272 1
O2 0.5000 0.7552 0.9272 1

***

Record 3
# Pr2Co3Ge5 | the Open Quantum Materials Database | PBE | relaxed
# Total moment   0.066 μB per atom
# Space-group type   Ibam (72)
# Final energy   -119.45 eV/cell
data_Pr2Co3Ge5
_space_group_name_H-M_alt 'P 1'
_space_group_IT_number 1
_space_group_name_Hall 'P 1'
_cell_length_a 5.9112
_cell_length_b 8.2647
_cell_length_c 8.2647
_cell_angle_alpha 91.88
_cell_angle_beta 110.95
_cell_angle_gamma 110.95
loop_
_atom_site_label
_atom_site_fract_x
_atom_site_fract_y
_atom_site_fract_z
_atom_site_occupancy
Ge1 0.2500 0.2356 0.7644 1
Ge2 0.6560 0.0574 0.2547 1
Ge3 0.8440 0.7453 0.9426 1
Ge4 0.2500 0.7644 0.2356 1
Ge5 0.1560 0.2547 0.0574 1
Ge6 0.3440 0.9426 0.7453 1
Ge7 0.7500 0.2356 0.7644 1
Ge8 0.7500 0.7644 0.2356 1
Ge9 0.7500 0.5000 0.5000 1
Ge10 0.2500 0.5000 0.5000 1
Pr1 0.2375 0.6042 0.8709 1
Pr2 0.7625 0.3958 0.1291 1
Pr3 0.7375 0.8709 0.6042 1
Pr4 0.2625 0.1291 0.3958 1
Co1 0.1095 0.7454 0.4737 1
Co2 0.8905 0.2546 0.5263 1
Co3 0.6095 0.4737 0.7454 1
Co4 0.3905 0.5263 0.2546 1
Co5 0.7500 0.0000 0.0000 1
Co6 0.2500 0.0000 0.0000 1